(1)
Density functional theory data (PBE) for a relaxed CdP2Pb crystal.

Uncorrected energy, eV per atom: -3.5801
E_form, eV per atom: 0.281

Unit cell a=3.770 b=3.770 c=6.304 alpha=90.00 beta=90.00 gamma=90.00
Element x y z (fractional)
Cd (0.000, 0.000, 0.000)
P (0.500, 0.500, 0.178)
P (0.500, 0.500, 0.822)
Pb (0.000, 0.000, 0.500)

=====

(2)
Density functional theory data (PBE) for a relaxed LiPm2Tm crystal.

Energy above the most stable polymorph in this dataset, eV per atom: 0.006
Uncorrected energy, eV per atom: -3.8982
E_form, eV per atom: 0.073

Unit cell a=11.549 b=11.549 c=11.549 alpha=17.60 beta=17.60 gamma=17.60
Element x y z (fractional)
Li (0.000, 0.000, 0.000)
Pm (0.584, 0.584, 0.584)
Pm (0.749, 0.749, 0.749)
Tm (0.167, 0.167, 0.167)

=====

(3)
Density functional theory data (PBE) for a relaxed Na3Np2CdS6 crystal.

Formation energy without anion corrections, meV/atom: -1202
Uncorrected energy, eV per atom: -5.8290

Unit cell a=6.868 b=6.868 c=7.073 alpha=99.32 beta=99.32 gamma=119.94
Element x y z (fractional)
Na (0.000, 0.000, 0.000)
Na (0.337, 0.663, 0.000)
Na (0.663, 0.337, 0.000)
Np (0.167, 0.833, 0.500)
Np (0.833, 0.167, 0.500)
Cd (0.500, 0.500, 0.500)
S (0.083, 0.424, 0.272)
S (0.235, 0.235, 0.728)
S (0.424, 0.083, 0.272)
S (0.576, 0.917, 0.728)
S (0.765, 0.765, 0.272)
S (0.917, 0.576, 0.728)

=====

> Which of these has the lowest uncorrected energy?

Na3Np2CdS6